Entry from the Alexandria database: a relaxed InHSI2 crystal (PBE).

The structure in CIF format:
```
data_InHSI2
_chemical_formula_sum 'In1 H1 S1 I2'
_symmetry_space_group_name_H-M 'P 1'
_symmetry_Int_Tables_number 1
_cell_length_a 4.401
_cell_length_b 4.401
_cell_length_c 8.113
_cell_angle_alpha 90.00
_cell_angle_beta 90.00
_cell_angle_gamma 90.00
loop_
_symmetry_equiv_pos_as_xyz
'x,y,z'
loop_
_atom_site_label
_atom_site_fract_x
_atom_site_fract_y
_atom_site_fract_z
_atom_site_occupancy
In1 0.000 0.000 0.000 1
H1 0.000 0.000 0.500 1
S1 0.500 0.500 0.000 1
I1 0.000 0.500 0.500 1
I2 0.500 0.000 0.500 1
```

Magnetic moment (μB per cell): 0.00
V (A^3/atom): 31.43
Uncorrected energy (eV per atom): -2.161
Crystal system: tetragonal